Entry 1:
The following is a DFT calculation (PBE-GGA) of an optimized crystal structure of LaInSbTe2.

Structure (CIF):
```
data_LaInSbTe2
_space_group_name_H-M_alt 'P 4/m m m'
_space_group_IT_number 123
_space_group_name_Hall '-P 4 2'
_cell_length_a 6.158
_cell_length_b 6.158
_cell_length_c 6.162
_cell_angle_alpha 90.00
_cell_angle_beta 90.00
_cell_angle_gamma 90.00
loop_
_atom_site_label
_atom_site_type_symbol
_atom_site_fract_x
_atom_site_fract_y
_atom_site_fract_z
_atom_site_occupancy
La1 La 0.000 0.000 0.000 1
In1 In 0.500 0.500 0.500 1
Sb1 Sb 0.000 0.000 0.500 1
Te1 Te 0.000 0.500 0.000 1
```

Output
**ΔE to the lowest computed polymorph**: 0.070 eV per atom

---

Entry 2:
The following is a DFT calculation (PBE-GGA) of an optimized crystal structure of LaInSbTe2.

Structure (CIF):
```
data_LaInSbTe2
_space_group_name_H-M_alt 'P 4/m m m'
_space_group_IT_number 123
_space_group_name_Hall '-P 4 2'
_cell_length_a 5.660
_cell_length_b 5.660
_cell_length_c 5.507
_cell_angle_alpha 90.00
_cell_angle_beta 90.00
_cell_angle_gamma 90.00
loop_
_atom_site_label
_atom_site_type_symbol
_atom_site_fract_x
_atom_site_fract_y
_atom_site_fract_z
_atom_site_occupancy
La1 La 0.000 0.000 0.000 1
In1 In 0.500 0.500 0.500 1
Sb1 Sb 0.500 0.500 0.000 1
Te1 Te 0.000 0.500 0.500 1
```

Output
**ΔE to the lowest computed polymorph**: 0.000 eV per atom

---

Entry 3:
The following is a DFT calculation (PBE-GGA) of an optimized crystal structure of LaTlInSb2.

Structure (CIF):
```
data_LaTlInSb2
_space_group_name_H-M_alt 'P 4/m m m'
_space_group_IT_number 123
_space_group_name_Hall '-P 4 2'
_cell_length_a 6.079
_cell_length_b 6.079
_cell_length_c 6.232
_cell_angle_alpha 90.00
_cell_angle_beta 90.00
_cell_angle_gamma 90.00
loop_
_atom_site_label
_atom_site_type_symbol
_atom_site_fract_x
_atom_site_fract_y
_atom_site_fract_z
_atom_site_occupancy
La1 La 0.000 0.000 0.000 1
Tl1 Tl 0.000 0.000 0.500 1
In1 In 0.500 0.500 0.500 1
Sb1 Sb 0.000 0.500 0.000 1
```

---

Entry 4:
The following is a DFT calculation (PBE-GGA) of an optimized crystal structure of LaScIn6.

Structure (CIF):
```
data_LaScIn6
_space_group_name_H-M_alt 'P 4/m m m'
_space_group_IT_number 123
_space_group_name_Hall '-P 4 2'
_cell_length_a 4.676
_cell_length_b 4.676
_cell_length_c 9.253
_cell_angle_alpha 90.00
_cell_angle_beta 90.00
_cell_angle_gamma 90.00
loop_
_atom_site_label
_atom_site_type_symbol
_atom_site_fract_x
_atom_site_fract_y
_atom_site_fract_z
_atom_site_occupancy
La1 La 0.000 0.000 0.000 1
Sc1 Sc 0.000 0.000 0.500 1
In1 In 0.000 0.500 0.264 1
In2 In 0.500 0.500 0.000 1
In3 In 0.500 0.500 0.500 1
```

---

Entry 5:
The following is a DFT calculation (PBE-GGA) of an optimized crystal structure of La3ScIn2.

Structure (CIF):
```
data_La3ScIn2
_space_group_name_H-M_alt 'I b a m'
_space_group_IT_number 72
_space_group_name_Hall '-I 2 2c'
_cell_length_a 6.786
_cell_length_b 16.793
_cell_length_c 6.731
_cell_angle_alpha 90.00
_cell_angle_beta 90.00
_cell_angle_gamma 90.00
loop_
_atom_site_label
_atom_site_type_symbol
_atom_site_fract_x
_atom_site_fract_y
_atom_site_fract_z
_atom_site_occupancy
La1 La 0.000 0.000 0.250 1
La2 La 0.242 0.175 0.000 1
Sc1 Sc 0.000 0.500 0.250 1
In1 In 0.225 0.372 0.000 1
```

Output
**ΔE to the lowest computed polymorph**: 0.020 eV per atom

---

Entry 6:
The following is a DFT calculation (PBE-GGA) of an optimized crystal structure of LaSc2In.

Structure (CIF):
```
data_LaSc2In
_space_group_name_H-M_alt 'P 4 m m'
_space_group_IT_number 99
_cell_length_a 3.448
_cell_length_b 3.448
_cell_length_c 9.150
_cell_angle_alpha 90.00
_cell_angle_beta 90.00
_cell_angle_gamma 90.00
loop_
_space_group_symop_operation_xyz
'x,y,z'
'-y,x,z'
'-x,-y,z'
'y,-x,z'
'-x,y,z'
'y,x,z'
'x,-y,z'
'-y,-x,z'
loop_
_atom_site_label
_atom_site_type_symbol
_atom_site_fract_x
_atom_site_fract_y
_atom_site_fract_z
_atom_site_occupancy
La1 La 0.000 0.000 0.000 1
Sc1 Sc 0.000 0.000 0.523 1
Sc2 Sc 0.500 0.500 0.293 1
In1 In 0.500 0.500 0.735 1
```

---

Entry 7:
The following is a DFT calculation (PBE-GGA) of an optimized crystal structure of La3ScIn12.

Structure (CIF):
```
data_La3ScIn12
_space_group_name_H-M_alt 'P 4/m m m'
_space_group_IT_number 123
_space_group_name_Hall '-P 4 2'
_cell_length_a 4.728
_cell_length_b 4.728
_cell_length_c 18.891
_cell_angle_alpha 90.00
_cell_angle_beta 90.00
_cell_angle_gamma 90.00
loop_
_atom_site_label
_atom_site_type_symbol
_atom_site_fract_x
_atom_site_fract_y
_atom_site_fract_z
_atom_site_occupancy
La1 La 0.000 0.000 0.000 1
La2 La 0.000 0.000 0.258 1
Sc1 Sc 0.000 0.000 0.500 1
In1 In 0.000 0.500 0.129 1
In2 In 0.000 0.500 0.385 1
In3 In 0.500 0.500 0.000 1
In4 In 0.500 0.500 0.253 1
In5 In 0.500 0.500 0.500 1
```

---

Entry 8:
The following is a DFT calculation (PBE-GGA) of an optimized crystal structure of La2ScIn3.

Structure (CIF):
```
data_La2ScIn3
_space_group_name_H-M_alt 'P 4/m m m'
_space_group_IT_number 123
_space_group_name_Hall '-P 4 2'
_cell_length_a 3.758
_cell_length_b 3.758
_cell_length_c 11.877
_cell_angle_alpha 90.00
_cell_angle_beta 90.00
_cell_angle_gamma 90.00
loop_
_atom_site_label
_atom_site_type_symbol
_atom_site_fract_x
_atom_site_fract_y
_atom_site_fract_z
_atom_site_occupancy
La1 La 0.000 0.000 0.180 1
Sc1 Sc 0.000 0.000 0.500 1
In1 In 0.500 0.500 0.000 1
In2 In 0.500 0.500 0.363 1
```

---

Entry 9:
The following is a DFT calculation (PBE-GGA) of an optimized crystal structure of La2ScIn.

Structure (CIF):
```
data_La2ScIn
_space_group_name_H-M_alt 'C 1 2/m 1'
_space_group_IT_number 12
_cell_length_a 11.719
_cell_length_b 3.468
_cell_length_c 5.850
_cell_angle_alpha 90.00
_cell_angle_beta 97.24
_cell_angle_gamma 90.00
loop_
_space_group_symop_operation_xyz
'x,y,z'
'-x,-y,-z'
'-x,y,-z'
'x,-y,z'
'x+1/2,y+1/2,z'
'-x+1/2,-y+1/2,-z'
'-x+1/2,y+1/2,-z'
'x+1/2,-y+1/2,z'
loop_
_atom_site_label
_atom_site_type_symbol
_atom_site_fract_x
_atom_site_fract_y
_atom_site_fract_z
_atom_site_occupancy
La1 La 0.240 0.000 0.235 1
Sc1 Sc 0.000 0.000 0.500 1
In1 In 0.000 0.500 0.000 1
```

---

Entry 10:
The following is a DFT calculation (PBE-GGA) of an optimized crystal structure of La2ScIn.

Structure (CIF):
```
data_La2ScIn
_space_group_name_H-M_alt 'P 4 m m'
_space_group_IT_number 99
_cell_length_a 3.575
_cell_length_b 3.575
_cell_length_c 9.366
_cell_angle_alpha 90.00
_cell_angle_beta 90.00
_cell_angle_gamma 90.00
loop_
_space_group_symop_operation_xyz
'x,y,z'
'-y,x,z'
'-x,-y,z'
'y,-x,z'
'-x,y,z'
'y,x,z'
'x,-y,z'
'-y,-x,z'
loop_
_atom_site_label
_atom_site_type_symbol
_atom_site_fract_x
_atom_site_fract_y
_atom_site_fract_z
_atom_site_occupancy
La1 La 0.000 0.000 0.000 1
La2 La 0.500 0.500 0.310 1
Sc1 Sc 0.000 0.000 0.561 1
In1 In 0.500 0.500 0.751 1
```

---

Entry 11:
The following is a DFT calculation (PBE-GGA) of an optimized crystal structure of LaSc2In.

Structure (CIF):
```
data_LaSc2In
_space_group_name_H-M_alt 'C 1 2/m 1'
_space_group_IT_number 12
_cell_length_a 6.641
_cell_length_b 10.757
_cell_length_c 3.298
_cell_angle_alpha 90.00
_cell_angle_beta 114.17
_cell_angle_gamma 90.00
loop_
_space_group_symop_operation_xyz
'x,y,z'
'-x,-y,-z'
'-x,y,-z'
'x,-y,z'
'x+1/2,y+1/2,z'
'-x+1/2,-y+1/2,-z'
'-x+1/2,y+1/2,-z'
'x+1/2,-y+1/2,z'
loop_
_atom_site_label
_atom_site_type_symbol
_atom_site_fract_x
_atom_site_fract_y
_atom_site_fract_z
_atom_site_occupancy
La1 La 0.000 0.000 0.000 1
Sc1 Sc 0.250 0.250 0.500 1
In1 In 0.000 0.500 0.000 1
```

---

Entry 12:
The following is a DFT calculation (PBE-GGA) of an optimized crystal structure of La2ScIn.

Structure (CIF):
```
data_La2ScIn
_space_group_name_H-M_alt 'R -3 m'
_space_group_IT_number 166
_space_group_name_Hall '-R 3 2"'
_cell_length_a 3.5636
_cell_length_b 3.5636
_cell_length_c 33.9534
_cell_angle_alpha 90.00
_cell_angle_beta 90.00
_cell_angle_gamma 120.00
loop_
_atom_site_label
_atom_site_type_symbol
_atom_site_fract_x
_atom_site_fract_y
_atom_site_fract_z
_atom_site_occupancy
La1 La 0.0000 0.0000 0.2487 1
Sc1 Sc 0.0000 0.0000 0.5000 1
In1 In 0.0000 0.0000 0.0000 1
```

---

no.,final energy (eV per atom),D(E_F) (states/eV per cell)
1,-3.712,5.64
2,-3.782,2.44
3,-3.346,4.47
4,-3.854,3.56
5,-4.738,32.91
6,-5.258,6.63
7,-3.809,9.80
8,-4.550,3.96
9,-4.843,11.08
10,-4.945,4.32
11,-5.156,11.70
12,-4.789,12.75